Below is an optimized crystal structure of MgSb, with properties calculated at the PBE level.

The structure in POSCAR format:
```
MgSb
1.0
-3.1379 6.9685 -2.4064
-5.2188 -1.0864 3.6593
3.7681 3.9583 6.5490
Mg Sb
8 8
Direct
0.1877 0.0123 0.0973
0.6877 0.4877 0.9027
0.8123 0.5123 0.4027
0.3123 0.9877 0.5973
0.8123 0.9877 0.9027
0.3123 0.5123 0.0973
0.1877 0.4877 0.5973
0.6877 0.0123 0.4027
0.5501 0.1670 0.1093
0.0501 0.3330 0.8907
0.4499 0.6670 0.3907
0.9499 0.8330 0.6093
0.4499 0.8330 0.8907
0.9499 0.6670 0.1093
0.5501 0.3330 0.6093
0.0501 0.1670 0.3907
```

Computed properties:
Crystal system: orthorhombic
Space group: No. 61
VASP energy in eV/atom: -3.129
Formation energy without anion corrections in meV per atom: -270